Computed, not measured: FeCu2Ir after structural relaxation at the PBE level of DFT.

POSCAR file:
```
FeCu2Ir
1.0
4.4050 -1.3225 0.0000
4.4050 1.3225 0.0000
-0.8285 0.0000 4.3748
Fe Cu Ir
1 2 1
Cartesian
0.0000 0.0000 0.0000
1.5806 0.0000 3.2986
6.4010 0.0000 1.0761
3.9908 0.0000 2.1874
```

Calculated values
As for the electronic total energy: -6.301 eV per atom. The calculated volume comes out at 12.74 Å³ per atom. For the formation energy, the calculation gives 0.08 eV per atom.